[1]
# Dy4Tm2Zr

Crystalline Dy4Tm2Zr at its relaxed geometry (PBE, Alexandria).

Its formation energy is 0.255 eV/atom.

Lattice parameters (Å, degrees): 3.3749 5.7067 11.5355 104.32 90.00 90.00
Last column: nearest neighbours and their distance in Å.
Fractional positions:
Dy (0.0000, 0.0766, 0.1533)  2 Zr 3.33, 7 Dy 3.37-3.52, 2 Tm 3.51
Dy (0.5000, 0.3709, 0.7419)  2 Zr 3.34, 6 Dy 3.37-3.52, 3 Tm 3.43-3.51
Dy (0.0000, 0.9234, 0.8467)  2 Zr 3.33, 7 Dy 3.37-3.52, 2 Tm 3.51
Dy (0.5000, 0.6291, 0.2581)  2 Zr 3.34, 6 Dy 3.37-3.52, 3 Tm 3.43-3.51
Tm (0.5000, 0.7859, 0.5717)  4 Tm 3.27-3.37, 5 Dy 3.43-3.51
Tm (0.5000, 0.2141, 0.4283)  4 Tm 3.27-3.37, 5 Dy 3.43-3.51
Zr (0.0000, 0.5000, 0.0000)  8 Dy 3.33-3.34, 2 Zr 3.37



[2]
# Dy4Tm8Zr

Crystalline Dy4Tm8Zr at its relaxed geometry (PBE, Alexandria).

Its formation energy is 0.539 eV/atom.

Lattice parameters (Å, degrees): 7.5908 7.5908 7.5908 90.07 90.07 90.07
Last column: nearest neighbours and their distance in Å.
Fractional positions:
Tm (0.2448, 0.2448, 0.2448)  4 Dy 3.21-3.31, 1 Zr 3.35
Tm (0.7552, 0.7552, 0.7552)  4 Dy 3.21-3.31, 1 Zr 3.35
Tm (0.2447, 0.7546, 0.2447)  4 Dy 3.22-3.31, 1 Zr 3.36
Tm (0.2447, 0.2447, 0.7546)  4 Dy 3.22-3.31, 1 Zr 3.36
Tm (0.2454, 0.7553, 0.7553)  4 Dy 3.22-3.31, 1 Zr 3.36
Tm (0.7553, 0.7553, 0.2454)  4 Dy 3.22-3.31, 1 Zr 3.36
Tm (0.7546, 0.2447, 0.2447)  4 Dy 3.22-3.31, 1 Zr 3.36
Tm (0.7553, 0.2454, 0.7553)  4 Dy 3.22-3.31, 1 Zr 3.36
Dy (0.5000, 0.0000, 0.5000)  8 Tm 3.31
Dy (0.5000, 0.5000, 0.0000)  8 Tm 3.31
Dy (0.0000, 0.5000, 0.5000)  8 Tm 3.31
Dy (0.0000, 0.0000, 0.0000)  8 Tm 3.21-3.22
Zr (0.5000, 0.5000, 0.5000)  8 Tm 3.35-3.36



[3]
# Dy2Tm2Zr

Crystalline Dy2Tm2Zr at its relaxed geometry (PBE, Alexandria).

Its formation energy is 0.115 eV/atom.

Lattice parameters (Å, degrees): 6.3229 6.3229 8.5403 108.58 108.58 96.28
Last column: nearest neighbours and their distance in Å.
Fractional positions:
Dy (0.2809, 0.2809, 0.8826)  2 Dy 3.26-3.35, 2 Zr 3.31, 4 Tm 3.47-3.48
Dy (0.7191, 0.7191, 0.1174)  2 Dy 3.26-3.35, 2 Zr 3.31, 4 Tm 3.47-3.48
Dy (0.8395, 0.8395, 0.5921)  3 Dy 3.35-3.73, 2 Zr 3.40, 6 Tm 3.42-3.55
Dy (0.1605, 0.1605, 0.4079)  3 Dy 3.35-3.73, 2 Zr 3.40, 6 Tm 3.42-3.55
Zr (0.8468, 0.1532, 0.0000)  1 Zr 2.89, 2 Tm 3.10
Zr (0.1532, 0.8468, 0.0000)  1 Zr 2.89, 2 Tm 3.10
Tm (0.6246, 0.2637, 0.2835)  2 Zr 3.10-3.36, 2 Tm 3.35-3.40, 2 Dy 3.42-3.47
Tm (0.3754, 0.7363, 0.7165)  2 Zr 3.10-3.36, 2 Tm 3.35-3.40, 2 Dy 3.42-3.47
Tm (0.7363, 0.3754, 0.7165)  2 Zr 3.10-3.36, 2 Tm 3.35-3.40, 2 Dy 3.42-3.47
Tm (0.2637, 0.6246, 0.2835)  2 Zr 3.10-3.36, 2 Tm 3.35-3.40, 2 Dy 3.42-3.47



[4]
# DyTmZr

Crystalline DyTmZr at its relaxed geometry (PBE, Alexandria).

Its formation energy is 0.080 eV/atom.

Lattice parameters (Å, degrees): 3.3931 3.3931 8.3588 90.00 90.00 120.00
Last column: nearest neighbours and their distance in Å.
Fractional positions:
Zr (0.6667, 0.3333, 0.3344)  3 Tm 3.28, 3 Dy 3.31, 6 Zr 3.39
Tm (0.3333, 0.6667, 0.6497)  3 Zr 3.28, 6 Tm 3.39, 3 Dy 3.63
Dy (0.0000, 0.0000, 0.0159)  3 Zr 3.31, 6 Dy 3.39, 3 Tm 3.63



[5]
# Dy5Tm12Zr2

Crystalline Dy5Tm12Zr2 at its relaxed geometry (PBE, Alexandria).

Its formation energy is 0.172 eV/atom.

Lattice parameters (Å, degrees): 7.3192 9.6887 9.3588 71.73 90.00 112.19
Last column: nearest neighbours and their distance in Å.
Fractional positions:
Tm (0.0897, 0.6850, 0.5036)  6 Tm 3.34-3.70, 5 Dy 3.35-3.62
Tm (0.5953, 0.6850, 0.5036)  6 Tm 3.34-3.70, 5 Dy 3.35-3.62
Tm (0.4956, 0.9912, 0.6852)  2 Zr 3.24, 5 Tm 3.28-3.42
Tm (0.9103, 0.3150, 0.4964)  6 Tm 3.34-3.70, 5 Dy 3.35-3.62
Tm (0.4008, 0.3113, 0.1254)  5 Tm 3.28-3.59, 1 Zr 3.42, 4 Dy 3.47-3.63
Tm (0.4047, 0.3150, 0.4964)  6 Tm 3.34-3.70, 5 Dy 3.35-3.62
Tm (0.0183, 0.0366, 0.8090)  2 Zr 2.92, 2 Dy 3.02-3.24
Tm (0.5044, 0.0088, 0.3148)  2 Zr 3.24, 5 Tm 3.28-3.42
Tm (0.5992, 0.6887, 0.8746)  5 Tm 3.28-3.59, 1 Zr 3.42, 4 Dy 3.47-3.63
Tm (0.9817, 0.9634, 0.1910)  2 Zr 2.92, 2 Dy 3.02-3.24
Tm (0.0895, 0.6887, 0.8746)  5 Tm 3.28-3.59, 1 Zr 3.42, 4 Dy 3.47-3.63
Tm (0.9105, 0.3113, 0.1254)  5 Tm 3.28-3.59, 1 Zr 3.42, 4 Dy 3.47-3.63
Dy (0.3117, 0.6234, 0.2098)  9 Tm 3.51-3.90, 2 Zr 3.53, 2 Dy 3.67
Dy (0.6883, 0.3766, 0.7902)  9 Tm 3.51-3.90, 2 Zr 3.53, 2 Dy 3.67
Dy (0.0000, 0.0000, 0.5000)  6 Tm 3.02-3.35
Dy (0.2021, 0.4043, 0.7877)  9 Tm 3.24-3.58
Dy (0.7979, 0.5957, 0.2123)  9 Tm 3.24-3.58
Zr (0.6765, 0.0000, 0.0000)  1 Zr 2.58
Zr (0.3235, 0.0000, 0.0000)  1 Zr 2.58



[6]
# Dy6Tm3Zr

Crystalline Dy6Tm3Zr at its relaxed geometry (PBE, Alexandria).

Its formation energy is 0.209 eV/atom.

Lattice parameters (Å, degrees): 4.8689 11.3741 12.3606 90.00 113.15 90.00
Last column: nearest neighbours and their distance in Å.
Fractional positions:
Dy (0.7854, 0.5010, 0.7858)  1 Zr 3.25, 4 Tm 3.34-3.45, 4 Dy 3.35-3.44
Dy (0.9991, 0.2860, 0.9990)  1 Zr 3.25, 4 Tm 3.34-3.44, 4 Dy 3.36-3.44
Dy (0.1482, 0.3516, 0.6484)  3 Tm 3.31-3.34, 4 Dy 3.35-3.36, 2 Zr 3.41
Dy (0.2146, 0.4990, 0.2142)  1 Zr 3.25, 4 Tm 3.34-3.45, 4 Dy 3.35-3.44
Dy (0.8518, 0.6484, 0.3516)  3 Tm 3.31-3.34, 4 Dy 3.35-3.36, 2 Zr 3.41
Dy (0.2854, 0.9990, 0.2858)  1 Zr 3.25, 4 Tm 3.34-3.45, 4 Dy 3.35-3.44
Dy (0.4991, 0.2140, 0.4990)  1 Zr 3.25, 4 Tm 3.34-3.44, 4 Dy 3.36-3.44
Dy (0.6482, 0.1484, 0.1484)  3 Tm 3.31-3.34, 4 Dy 3.35-3.36, 2 Zr 3.41
Dy (0.3518, 0.8516, 0.8516)  3 Tm 3.31-3.34, 4 Dy 3.35-3.36, 2 Zr 3.41
Dy (0.7146, 0.0010, 0.7142)  1 Zr 3.25, 4 Tm 3.34-3.45, 4 Dy 3.35-3.44
Dy (0.5009, 0.7860, 0.5010)  1 Zr 3.25, 4 Tm 3.34-3.44, 4 Dy 3.36-3.44
Dy (0.0009, 0.7140, 0.0010)  1 Zr 3.25, 4 Tm 3.34-3.44, 4 Dy 3.36-3.44
Tm (0.8547, 0.3543, 0.3544)  7 Dy 3.31-3.34, 2 Zr 3.38
Tm (0.5000, 0.5000, 0.0000)  8 Dy 3.44-3.45
Tm (0.1453, 0.6457, 0.6456)  7 Dy 3.31-3.34, 2 Zr 3.38
Tm (0.0000, 0.0000, 0.5000)  8 Dy 3.44-3.45
Tm (0.6453, 0.8543, 0.1456)  7 Dy 3.31-3.34, 2 Zr 3.38
Tm (0.3547, 0.1457, 0.8544)  7 Dy 3.31-3.34, 2 Zr 3.38
Zr (0.0000, 0.0000, 0.0000)  8 Dy 3.25-3.41, 4 Tm 3.38
Zr (0.5000, 0.5000, 0.5000)  8 Dy 3.25-3.41, 4 Tm 3.38



[7]
# Dy5TmZr

Crystalline Dy5TmZr at its relaxed geometry (PBE, Alexandria).

Its formation energy is 0.193 eV/atom.

Lattice parameters (Å, degrees): 7.3245 5.9160 12.6575 90.00 90.00 128.25
Last column: nearest neighbours and their distance in Å.
Fractional positions:
Dy (0.5787, 0.4048, 0.8881)  2 Zr 3.24-3.62, 1 Tm 3.25, 5 Dy 3.36-3.54
Dy (0.1737, 0.5947, 0.8880)  1 Zr 3.23, 1 Tm 3.25, 5 Dy 3.36-3.53
Dy (0.1739, 0.5952, 0.6119)  1 Zr 3.24, 1 Tm 3.25, 5 Dy 3.36-3.54
Dy (0.8263, 0.4053, 0.1120)  1 Zr 3.23, 1 Tm 3.25, 5 Dy 3.36-3.53
Dy (0.6926, 0.0000, 0.7500)  1 Tm 3.01
Dy (0.4210, 0.5947, 0.3880)  1 Zr 3.23, 1 Tm 3.25, 5 Dy 3.36-3.54
Dy (0.4213, 0.5952, 0.1119)  2 Zr 3.24-3.62, 1 Tm 3.25, 5 Dy 3.36-3.54
Dy (0.8261, 0.4048, 0.3881)  1 Zr 3.24, 1 Tm 3.25, 5 Dy 3.36-3.54
Dy (0.3074, 0.0000, 0.2500)  1 Tm 3.01
Dy (0.5790, 0.4053, 0.6120)  1 Zr 3.23, 1 Tm 3.25, 5 Dy 3.36-3.54
Tm (0.1041, 0.0000, 0.7500)  5 Dy 3.01-3.25, 2 Zr 3.25-3.26
Tm (0.8959, 0.0000, 0.2500)  5 Dy 3.01-3.25, 2 Zr 3.25-3.26
Zr (0.0000, 0.0000, 0.5000)  4 Dy 3.23-3.24, 2 Tm 3.25
Zr (0.0000, 0.0000, 0.0000)  4 Dy 3.23-3.24, 2 Tm 3.26



[8]
# Dy3Tm3Zr

Crystalline Dy3Tm3Zr at its relaxed geometry (PBE, Alexandria).

Its formation energy is 0.199 eV/atom.

Lattice parameters (Å, degrees): 6.0478 6.0478 14.0367 77.56 77.56 60.00
Last column: nearest neighbours and their distance in Å.
Fractional positions:
Tm (0.3960, 0.0613, 0.8161)  2 Zr 3.21, 6 Tm 3.48-3.51, 3 Dy 3.51
Tm (0.0613, 0.7266, 0.8161)  2 Zr 3.21, 6 Tm 3.48-3.51, 3 Dy 3.51
Tm (0.7266, 0.3960, 0.8161)  2 Zr 3.21, 6 Tm 3.48-3.51, 3 Dy 3.51
Tm (0.2734, 0.6040, 0.1839)  2 Zr 3.21, 6 Tm 3.48-3.51, 3 Dy 3.51
Tm (0.9387, 0.2734, 0.1839)  2 Zr 3.21, 6 Tm 3.48-3.51, 3 Dy 3.51
Tm (0.6040, 0.9387, 0.1839)  2 Zr 3.21, 6 Tm 3.48-3.51, 3 Dy 3.51
Zr (0.3334, 0.3334, 0.9999)  6 Tm 3.21, 3 Zr 3.49
Zr (0.6666, 0.6666, 0.0001)  6 Tm 3.21, 3 Zr 3.49
Dy (0.1319, 0.4626, 0.6048)  9 Dy 3.47-3.51, 3 Tm 3.51
Dy (0.8681, 0.5374, 0.3952)  9 Dy 3.47-3.51, 3 Tm 3.51
Dy (0.8007, 0.1319, 0.6048)  9 Dy 3.47-3.51, 3 Tm 3.51
Dy (0.1993, 0.8681, 0.3952)  9 Dy 3.47-3.51, 3 Tm 3.51
Dy (0.4626, 0.8007, 0.6048)  9 Dy 3.47-3.51, 3 Tm 3.51
Dy (0.5374, 0.1993, 0.3952)  9 Dy 3.47-3.51, 3 Tm 3.51



[9]
# Dy3Tm12Zr

Crystalline Dy3Tm12Zr at its relaxed geometry (PBE, Alexandria).

Its formation energy is 0.036 eV/atom.

Lattice parameters (Å, degrees): 4.9176 4.9176 19.6434 90.00 90.00 90.00
Last column: nearest neighbours and their distance in Å.
Fractional positions:
Tm (0.5000, 0.5000, 0.7529)  4 Dy 3.48, 8 Tm 3.49-3.54
Tm (0.5000, 0.0000, 0.1178)  2 Zr 3.38, 8 Tm 3.38-3.54, 2 Dy 3.55
Tm (0.0000, 0.5000, 0.3731)  4 Dy 3.48-3.50, 8 Tm 3.48-3.50
Tm (0.5000, 0.5000, 0.2471)  4 Dy 3.48, 8 Tm 3.49-3.54
Tm (0.5000, 0.0000, 0.6269)  4 Dy 3.48-3.50, 8 Tm 3.48-3.50
Tm (0.0000, 0.5000, 0.6269)  4 Dy 3.48-3.50, 8 Tm 3.48-3.50
Tm (0.0000, 0.5000, 0.8822)  2 Zr 3.38, 8 Tm 3.38-3.54, 2 Dy 3.55
Tm (0.5000, 0.5000, 0.0000)  8 Tm 3.38, 4 Zr 3.48
Tm (0.0000, 0.5000, 0.1178)  2 Zr 3.38, 8 Tm 3.38-3.54, 2 Dy 3.55
Tm (0.5000, 0.0000, 0.3731)  4 Dy 3.48-3.50, 8 Tm 3.48-3.50
Tm (0.5000, 0.5000, 0.5000)  4 Dy 3.48, 8 Tm 3.50
Tm (0.5000, 0.0000, 0.8822)  2 Zr 3.38, 8 Tm 3.38-3.54, 2 Dy 3.55
Dy (0.0000, 0.0000, 0.2480)  12 Tm 3.48-3.55
Dy (0.0000, 0.0000, 0.5000)  12 Tm 3.48-3.50
Dy (0.0000, 0.0000, 0.7520)  12 Tm 3.48-3.55
Zr (0.0000, 0.0000, 0.0000)  12 Tm 3.38-3.48



[10]
# Dy14TmZr

Crystalline Dy14TmZr at its relaxed geometry (PBE, Alexandria).

Its formation energy is 0.035 eV/atom.

Lattice parameters (Å, degrees): 7.0298 7.0298 9.9185 90.00 90.00 90.00
Last column: nearest neighbours and their distance in Å.
Fractional positions:
Tm (0.3750, 0.6250, 0.0000)  12 Dy 3.50-3.52
Dy (0.6295, 0.3705, 0.7554)  1 Zr 3.44, 10 Dy 3.45-3.58, 1 Tm 3.51
Dy (0.8749, 0.6249, 0.0000)  8 Dy 3.47, 2 Tm 3.51-3.52, 2 Zr 3.51-3.52
Dy (0.3751, 0.1251, 0.0000)  8 Dy 3.47, 2 Tm 3.51-3.52, 2 Zr 3.51-3.52
Dy (0.6295, 0.3705, 0.2446)  1 Zr 3.44, 10 Dy 3.45-3.58, 1 Tm 3.51
Dy (0.6295, 0.8795, 0.7555)  1 Zr 3.44, 10 Dy 3.45-3.58, 1 Tm 3.51
Dy (0.1205, 0.3705, 0.2445)  1 Zr 3.44, 10 Dy 3.45-3.58, 1 Tm 3.51
Dy (0.3749, 0.1250, 0.5000)  12 Dy 3.51-3.55
Dy (0.1205, 0.8795, 0.2445)  1 Zr 3.44, 10 Dy 3.45-3.58, 1 Tm 3.50
Dy (0.1205, 0.3705, 0.7555)  1 Zr 3.44, 10 Dy 3.45-3.58, 1 Tm 3.51
Dy (0.6295, 0.8795, 0.2445)  1 Zr 3.44, 10 Dy 3.45-3.58, 1 Tm 3.51
Dy (0.8750, 0.6251, 0.5000)  12 Dy 3.51-3.55
Dy (0.3750, 0.6250, 0.5000)  12 Dy 3.51-3.58
Dy (0.1205, 0.8795, 0.7555)  1 Zr 3.44, 10 Dy 3.45-3.58, 1 Tm 3.50
Dy (0.8750, 0.1250, 0.5000)  12 Dy 3.51-3.52
Zr (0.8750, 0.1250, 0.0000)  12 Dy 3.44-3.52



[11]
# Dy10Tm4Zr

Crystalline Dy10Tm4Zr at its relaxed geometry (PBE, Alexandria).

Its formation energy is 0.234 eV/atom.

Lattice parameters (Å, degrees): 7.6704 8.7482 8.7482 78.92 64.00 64.00
Last column: nearest neighbours and their distance in Å.
Fractional positions:
Dy (0.5042, 0.2088, 0.2087)  1 Zr 3.20, 4 Dy 3.25-3.28, 4 Tm 3.38-3.49
Dy (0.9216, 0.7912, 0.7913)  1 Zr 3.20, 4 Dy 3.25-3.28, 4 Tm 3.38-3.49
Dy (0.2500, 0.5000, 0.5000)  4 Dy 3.25
Dy (0.7129, 0.2087, 0.7912)  1 Zr 3.20, 4 Dy 3.25-3.28, 4 Tm 3.38-3.49
Dy (0.7128, 0.7913, 0.2088)  1 Zr 3.20, 4 Dy 3.25-3.28, 4 Tm 3.38-3.49
Dy (0.4958, 0.7912, 0.7913)  1 Zr 3.20, 4 Dy 3.25-3.28, 4 Tm 3.38-3.49
Dy (0.7500, 0.5000, 0.5000)  4 Dy 3.25
Dy (0.0784, 0.2088, 0.2087)  1 Zr 3.20, 4 Dy 3.25-3.28, 4 Tm 3.38-3.49
Dy (0.2872, 0.2087, 0.7912)  1 Zr 3.20, 4 Dy 3.25-3.28, 4 Tm 3.38-3.49
Dy (0.2871, 0.7913, 0.2088)  1 Zr 3.20, 4 Dy 3.25-3.28, 4 Tm 3.38-3.49
Tm (0.2292, 0.5413, 0.0003)  8 Dy 3.38-3.49, 1 Zr 3.61
Tm (0.7708, 0.4587, 0.9997)  8 Dy 3.38-3.49, 1 Zr 3.61
Tm (0.2295, 0.9997, 0.5413)  8 Dy 3.38-3.49, 1 Zr 3.61
Tm (0.7705, 0.0003, 0.4587)  8 Dy 3.38-3.49, 1 Zr 3.61
Zr (0.0000, 0.0000, 0.0000)  8 Dy 3.20



[12]
# DyTm2Zr

Crystalline DyTm2Zr at its relaxed geometry (PBE, Alexandria).

Its formation energy is 0.162 eV/atom.

Lattice parameters (Å, degrees): 3.9728 3.9728 7.2129 90.00 90.00 90.00
Last column: nearest neighbours and their distance in Å.
Fractional positions:
Zr (0.5000, 0.5000, 0.0000)  8 Tm 3.25, 2 Dy 3.61
Tm (0.0000, 0.0000, 0.7740)  4 Zr 3.25, 1 Tm 3.26, 4 Dy 3.43
Tm (0.0000, 0.0000, 0.2260)  4 Zr 3.25, 1 Tm 3.26, 4 Dy 3.43
Dy (0.5000, 0.5000, 0.5000)  8 Tm 3.43, 2 Zr 3.61